## Be2CoO4 (GGA+U)

Data for a relaxed Be2CoO4 crystal.

Results
Size of the total moment in μB per formula unit: 3.03
Space-group type: I4/mmm (139)
Calculated total energy in eV/atom: -5.59

abc: 3.794 3.794 5.128
angles: 68.29 68.29 90.00
Site moments in Bohr magnetons follow the coordinates.
Fractional coordinates of all 7 atoms:
Be 0.370 0.370 0.260  0.01
Be 0.630 0.630 0.740  0.01
Co 0.000 0.000 0.000  2.29
O 0.204 0.204 0.592  0.28
O 0.796 0.796 0.408  0.28
O 0.000 0.500 0.000  0.01
O 0.500 0.000 0.000  0.01



## PaBeCo2O6 (GGA+U)

Data for a relaxed PaBeCo2O6 crystal.

Results
Size of the total moment in μB per formula unit: 6.96
Space-group type: P4mm (99)
Calculated total energy in eV/atom: -6.99

abc: 4.566 5.417 5.417
angles: 90.00 90.00 90.00
Site moments in Bohr magnetons follow the coordinates.
Fractional coordinates of all 10 atoms:
Pa 0.606 0.500 0.500  0.00
Be 0.633 0.000 0.000  -0.01
Co 0.911 0.500 0.000  2.70
Co 0.911 0.000 0.500  2.70
O 0.738 0.229 0.229  0.13
O 0.738 0.229 0.771  0.13
O 0.150 0.500 0.500  0.03
O 0.283 0.000 0.000  0.69
O 0.738 0.771 0.771  0.13
O 0.738 0.771 0.229  0.13



## PaBeCoO5 (GGA+U)

Data for a relaxed PaBeCoO5 crystal.

Results
Size of the total moment in μB per formula unit: 2.01
Space-group type: C2/c (15)
Calculated total energy in eV/atom: -7.70

abc: 5.224 5.224 8.194
angles: 103.19 103.19 108.67
Site moments in Bohr magnetons follow the coordinates.
Fractional coordinates of all 16 atoms:
Pa 0.000 0.000 0.500  0.03
Pa 0.000 0.000 0.000  0.03
Be 0.682 0.318 0.250  0.00
Be 0.318 0.682 0.750  0.00
Co 0.342 0.658 0.250  2.00
Co 0.658 0.342 0.750  2.00
O 0.126 0.874 0.250  -0.04
O 0.874 0.126 0.750  -0.04
O 0.987 0.354 0.200  -0.03
O 0.013 0.646 0.800  -0.03
O 0.646 0.013 0.300  -0.03
O 0.354 0.987 0.700  -0.03
O 0.700 0.582 0.408  0.03
O 0.300 0.418 0.592  0.03
O 0.418 0.300 0.092  0.03
O 0.582 0.700 0.908  0.03



## PaBe2Co2O7 (GGA+U)

Data for a relaxed PaBe2Co2O7 crystal.

Results
Size of the total moment in μB per formula unit: 7.00
Space-group type: R32 (155)
Calculated total energy in eV/atom: -7.13

abc: 5.025 5.025 7.775
angles: 71.15 71.15 60.00
Site moments in Bohr magnetons follow the coordinates.
Fractional coordinates of all 12 atoms:
Pa 0.000 0.000 0.000  0.07
Be 0.569 0.569 0.292  0.01
Be 0.431 0.431 0.708  0.01
Co 0.756 0.756 0.732  2.79
Co 0.244 0.244 0.268  2.79
O 0.288 0.906 0.195  0.17
O 0.906 0.610 0.195  0.17
O 0.610 0.288 0.195  0.17
O 0.500 0.500 0.500  0.06
O 0.712 0.390 0.805  0.17
O 0.390 0.094 0.805  0.17
O 0.094 0.712 0.805  0.17



## Pm2Be2CoO6 (GGA+U)

Data for a relaxed Pm2Be2CoO6 crystal.

Results
Size of the total moment in μB per formula unit: 3.00
Space-group type: R-3m (166)
Calculated total energy in eV/atom: -7.14

abc: 5.256 5.256 6.065
angles: 64.32 64.32 60.00
Site moments in Bohr magnetons follow the coordinates.
Fractional coordinates of all 11 atoms:
Pm 0.787 0.787 0.640  -0.01
Pm 0.213 0.213 0.360  -0.01
Be 0.423 0.423 0.730  0.01
Be 0.577 0.577 0.270  0.01
Co 0.000 0.000 0.000  2.71
O 0.743 0.743 0.272  0.05
O 0.242 0.743 0.272  0.05
O 0.743 0.242 0.272  0.05
O 0.257 0.758 0.728  0.05
O 0.758 0.257 0.728  0.05
O 0.257 0.257 0.728  0.05



## Pr2BeCoO6 (GGA+U)

Data for a relaxed Pr2BeCoO6 crystal.

Results
Size of the total moment in μB per formula unit: 1.05
Space-group type: C2/m (12)
Calculated total energy in eV/atom: -7.17

abc: 5.352 5.269 7.456
angles: 90.00 90.14 90.00
Site moments in Bohr magnetons follow the coordinates.
Fractional coordinates of all 20 atoms:
Pr 0.001 0.000 0.250  0.01
Pr 0.501 0.500 0.750  0.01
Pr 0.999 0.000 0.750  0.01
Pr 0.499 0.500 0.250  0.01
Be 0.500 0.000 0.000  0.00
Be 0.000 0.500 0.500  0.00
Co 0.500 0.000 0.500  1.06
Co 0.000 0.500 0.000  1.06
O 0.250 0.751 0.026  0.00
O 0.750 0.749 0.526  0.00
O 0.750 0.249 0.974  0.00
O 0.250 0.251 0.474  0.00
O 0.250 0.749 0.474  0.00
O 0.750 0.751 0.974  0.00
O 0.750 0.251 0.526  0.00
O 0.250 0.249 0.026  0.00
O 0.952 0.500 0.253  -0.01
O 0.452 0.000 0.753  -0.01
O 0.048 0.500 0.747  -0.01
O 0.548 0.000 0.247  -0.01